This record from Alexandria describes an optimized crystal structure of YPaTl2Se4. The functional is PBE.

- symmetry = P2/m (10)
- crystal system = monoclinic
- V (Å³/f.u.) = 237.1

Cell lengths 7.229, 4.132, 8.274 Å; angles 90.00, 106.36, 90.00 degrees
Positions (direct):
Y 0.000 0.000 0.000
Pa 0.500 0.500 0.000
Tl 0.000 0.500 0.500
Tl 0.500 0.000 0.500
Se 0.235 0.500 0.204
Se 0.265 0.000 0.792
Se 0.735 0.000 0.208
Se 0.765 0.500 0.796


This record from Alexandria describes an optimized crystal structure of Pa3Tl3ZnSe8. The functional is PBE.

- symmetry = R-3m (166)
- crystal system = trigonal
- V (Å³/f.u.) = 464.0

Cell lengths 9.256, 9.256, 9.256 Å; angles 52.64, 52.64, 52.64 degrees
Positions (direct):
Pa 0.000 0.500 0.500
Pa 0.500 0.000 0.500
Pa 0.500 0.500 0.000
Tl 0.000 0.000 0.500
Tl 0.000 0.500 0.000
Tl 0.500 0.000 0.000
Zn 0.000 0.000 0.000
Se 0.227 0.227 0.742
Se 0.227 0.742 0.227
Se 0.258 0.773 0.773
Se 0.264 0.264 0.264
Se 0.736 0.736 0.736
Se 0.742 0.227 0.227
Se 0.773 0.258 0.773
Se 0.773 0.773 0.258


This record from Alexandria describes an optimized crystal structure of Zr2PaTl3Se6. The functional is PBE.

- symmetry = C2/m (12)
- crystal system = monoclinic
- V (Å³/f.u.) = 326.4

Cell lengths 6.661, 6.661, 8.501 Å; angles 90.04, 90.04, 120.06 degrees
Positions (direct):
Zr 0.167 0.833 0.000
Zr 0.833 0.167 0.000
Pa 0.500 0.500 0.000
Tl 0.166 0.834 0.500
Tl 0.500 0.500 0.500
Tl 0.834 0.166 0.500
Se 0.160 0.160 0.197
Se 0.160 0.500 0.803
Se 0.500 0.160 0.803
Se 0.500 0.840 0.197
Se 0.840 0.500 0.197
Se 0.840 0.840 0.803


This record from Alexandria describes an optimized crystal structure of Zr3PaTl3Se8. The functional is PBE.

- symmetry = R-3m (166)
- crystal system = trigonal
- V (Å³/f.u.) = 422.0

Cell lengths 9.340, 9.340, 9.340 Å; angles 48.71, 48.71, 48.71 degrees
Positions (direct):
Zr 0.000 0.500 0.500
Zr 0.500 0.000 0.500
Zr 0.500 0.500 0.000
Pa 0.000 0.000 0.000
Tl 0.000 0.000 0.500
Tl 0.000 0.500 0.000
Tl 0.500 0.000 0.000
Se 0.240 0.240 0.724
Se 0.240 0.724 0.240
Se 0.268 0.268 0.268
Se 0.276 0.760 0.760
Se 0.724 0.240 0.240
Se 0.732 0.732 0.732
Se 0.760 0.276 0.760
Se 0.760 0.760 0.276


This record from Alexandria describes an optimized crystal structure of TmPaSe3. The functional is PBE.

- symmetry = P2_1/m (11)
- crystal system = monoclinic
- energy above the most stable polymorph in this dataset (eV per formula unit) = 0.00
- V (Å³/f.u.) = 146.1

Cell lengths 7.062, 4.061, 10.400 Å; angles 90.00, 101.64, 90.00 degrees
Positions (direct):
Tm 0.236 0.250 0.483
Tm 0.764 0.750 0.517
Pa 0.359 0.250 0.843
Pa 0.641 0.750 0.157
Se 0.021 0.750 0.337
Se 0.256 0.750 0.007
Se 0.448 0.750 0.652
Se 0.552 0.250 0.348
Se 0.744 0.250 0.993
Se 0.979 0.250 0.663


This record from Alexandria describes an optimized crystal structure of TmPaSe. The functional is PBE.

- symmetry = Amm2 (38)
- crystal system = orthorhombic
- V (Å³/f.u.) = 75.5

Cell lengths 13.878, 3.544, 6.139 Å; angles 90.00, 90.00, 90.00 degrees
Positions (direct):
Tm 0.201 0.000 0.000
Tm 0.201 0.500 0.500
Tm 0.799 0.000 0.000
Tm 0.799 0.500 0.500
Pa 0.000 0.000 0.668
Pa 0.000 0.500 0.168
Pa 0.500 0.000 0.000
Pa 0.500 0.500 0.500
Se 0.347 0.000 0.666
Se 0.347 0.500 0.166
Se 0.653 0.000 0.666
Se 0.653 0.500 0.166


This record from Alexandria describes an optimized crystal structure of Tm6PaSe8. The functional is PBE.

- symmetry = Fm-3m (225)
- crystal system = cubic
- V (Å³/f.u.) = 363.6

Cell lengths 8.011, 8.011, 8.011 Å; angles 60.00, 60.00, 60.00 degrees
Positions (direct):
Tm 0.000 0.000 0.500
Tm 0.000 0.500 0.000
Tm 0.000 0.500 0.500
Tm 0.500 0.000 0.000
Tm 0.500 0.000 0.500
Tm 0.500 0.500 0.000
Pa 0.000 0.000 0.000
Se 0.250 0.250 0.250
Se 0.259 0.259 0.741
Se 0.259 0.741 0.259
Se 0.259 0.741 0.741
Se 0.741 0.259 0.259
Se 0.741 0.259 0.741
Se 0.741 0.741 0.259
Se 0.750 0.750 0.750


This record from Alexandria describes an optimized crystal structure of TmPaSe3. The functional is PBE.

- symmetry = Cmc2_1 (36)
- crystal system = orthorhombic
- energy above the most stable polymorph in this dataset (eV per formula unit) = 0.14
- V (Å³/f.u.) = 151.3

Cell lengths 10.620, 10.620, 7.124 Å; angles 90.00, 90.00, 157.87 degrees
Positions (direct):
Tm 0.164 0.836 0.500
Tm 0.836 0.164 0.000
Pa 0.337 0.663 0.503
Pa 0.663 0.337 0.003
Se 0.091 0.909 0.829
Se 0.251 0.749 0.171
Se 0.406 0.594 0.837
Se 0.594 0.406 0.337
Se 0.749 0.251 0.671
Se 0.909 0.091 0.329


no.,uncorrected formation energy (meV per atom),density (g/cm³),DFT total energy (eV/f.u.)
1,-1156.9,7.31,-43.886
2,-924.9,7.17,-78.610
3,-1030.9,7.63,-66.969
4,-1079.0,6.88,-86.300
5,-1486.7,7.24,-31.855
6,-737.0,10.54,-19.663
7,-1648.6,8.57,-88.930
8,-1459.7,6.99,-31.719